The following is a PBE+U calculation of a relaxed structure of ZnCd2WO6, from the Alexandria database.

The space group is P2_1/c (No. 14) and the conventional cell measures 5.449, 5.581 and 9.637 Å, with angles of 90.00, 124.39 and 90.00 degrees. Symmetry generates all atoms from Zn at (0.000, 0.000, 0.000), Cd at (0.261, 0.045, 0.749), W at (0.500, 0.000, 0.500), O at (0.159, 0.044, 0.264), O at (0.258, 0.691, 0.050) and O at (0.379, 0.211, 0.062).

Its crystal system is monoclinic. The size of the total moment is 0.00 Bohr magnetons per cell. The density of states at the Fermi level is 0.000 states/eV/cell. The value obtained for the electronic total energy is -5.50 eV/atom.